! Dy6YEr3 (PBE, optimized geometry); values from VASP
&SYSTEM
  ibrav = 0, nat = 20, ntyp = 3
/
ATOMIC_SPECIES
Er 167.26 Er.upf
Dy 162.50 Dy.upf
Y 88.91 Y.upf
CELL_PARAMETERS angstrom
-1.906 -4.105 4.197
9.254 -5.645 -1.318
-0.527 7.916 7.503
ATOMIC_POSITIONS angstrom
Er -1.427 -2.084 6.057
Er 4.340 -0.584 10.144
Er 1.668 -3.001 2.027
Er 3.146 2.333 4.370
Er 4.351 -2.710 4.522
Er 7.434 -1.500 6.114
Dy 3.297 -0.023 1.819
Dy -1.836 3.573 10.944
Dy -0.490 1.975 4.955
Dy 6.901 -4.692 6.329
Dy 0.981 1.466 7.743
Dy 3.733 3.074 7.948
Dy 8.037 -6.741 0.801
Dy 1.440 -0.822 4.733
Dy 4.332 -0.070 6.782
Dy 6.189 0.729 3.869
Dy 6.236 -2.446 1.765
Dy 2.677 -5.791 3.336
Y 1.198 4.599 6.288
Y 6.053 -5.507 3.147
! Formation energy = 0.156 eV per atom
! DOS at the Fermi energy = 1.47 states/eV per atom
! Energy relative to the lowest polymorph listed for this composition = 30 meV/atom